Entry 1:
4
Lattice="4.532 0.000 0.000 2.266 3.925 0.000 2.266 1.308 3.700" Properties=species:S:1:pos:R:3 comment="LiTbNiRh PBE optimized geometry" ef_mev_per_atom=-316 dft_energy_ev_per_atom=-5.235 dos_at_fermi_per_ev_atom=0.39 crystal_system=cubic pbc="T T T"
Li 4.532 2.616 1.850
Rh 6.798 3.925 2.775
Tb 0.000 0.000 0.000
Ni 2.266 1.308 0.925

---

Entry 2:
4
Lattice="4.194 0.000 0.000 2.097 3.632 0.000 2.097 1.211 3.424" Properties=species:S:1:pos:R:3 comment="LiTcNiRh PBE optimized geometry" ef_mev_per_atom=89 dft_energy_ev_per_atom=-6.264 dos_at_fermi_per_ev_atom=1.15 crystal_system=cubic pbc="T T T"
Tc 6.291 3.632 2.568
Li 2.097 1.211 0.856
Ni 4.194 2.421 1.712
Rh 0.000 0.000 0.000

---

Entry 3:
4
Lattice="-1.634 -0.865 3.948 -3.851 -2.009 0.373 -0.183 -4.114 1.430" Properties=species:S:1:pos:R:3 comment="LiTlNiRh PBE optimized geometry" ef_mev_per_atom=-2 dft_energy_ev_per_atom=-4.356 dos_at_fermi_per_ev_atom=1.57 crystal_system=cubic pbc="T T T"
Li -4.251 -5.240 4.313
Tl 0.000 0.000 0.000
Ni -1.417 -1.747 1.438
Rh -2.834 -3.494 2.875

---

Entry 4:
4
Lattice="-1.425 0.955 4.130 0.942 -2.765 3.386 2.928 1.234 3.147" Properties=species:S:1:pos:R:3 comment="LiTmNiRh PBE optimized geometry" ef_mev_per_atom=-385 dft_energy_ev_per_atom=-5.265 dos_at_fermi_per_ev_atom=0.35 crystal_system=cubic pbc="T T T"
Ni 1.223 -0.288 5.331
Li 0.611 -0.144 2.666
Tm 1.834 -0.432 7.997
Rh 0.000 0.000 0.000